(1)
The following is a DFT calculation (GGA-PBEsol) of a geometry-optimized AgHg2RhPb structure.

Values from the calculation:
spin magnetization: 0.00 μB/cell
space-group type: P4/mmm, No. 123
density of states at the Fermi level: 3.1 states/eV/cell
energy: -2.829 eV per atom

Unit cell a=5.0523 b=5.0523 c=5.0362 alpha=90.00 beta=90.00 gamma=90.00
Sites, in units of the cell vectors:
Ag1 0.0000 0.0000 0.0000
Hg1 0.0000 0.5000 0.5000
Hg2 0.5000 0.0000 0.5000
Rh1 0.0000 0.0000 0.5000
Pb1 0.5000 0.5000 0.0000

(2)
The following is a DFT calculation (GGA-PBEsol) of a geometry-optimized YZr2Zn structure.

Values from the calculation:
spin magnetization: 0.00 μB/cell
space-group type: Amm2, No. 38
density of states at the Fermi level: 3.9 states/eV/cell
energy: -6.660 eV per atom

Unit cell a=4.6528 b=6.1199 c=6.1199 alpha=30.81 beta=90.00 gamma=90.00
Sites, in units of the cell vectors:
Y1 0.0000 0.0000 0.0000
Zr1 0.0000 0.2643 0.2643
Zr2 0.5000 0.6774 0.6774
Zn1 0.5000 0.4024 0.4024

(3)
The following is a DFT calculation (GGA-PBEsol) of a geometry-optimized Fe2CuHg structure.

Values from the calculation:
ΔE to the lowest computed polymorph: 0.67 eV/f.u.
spin magnetization: 5.35 μB/cell
space-group type: R-3m, No. 166
density of states at the Fermi level: 4.2 states/eV/cell
energy: -5.210 eV per atom

Unit cell a=8.8322 b=8.8322 c=8.8322 alpha=17.68 beta=17.68 gamma=17.68
Sites, in units of the cell vectors:
Fe1 0.2430 0.2430 0.2430
Fe2 0.7570 0.7570 0.7570
Cu1 0.5000 0.5000 0.5000
Hg1 0.0000 0.0000 0.0000

(4)
The following is a DFT calculation (GGA-PBEsol) of a geometry-optimized Co3BiH structure.

Values from the calculation:
spin magnetization: 0.80 μB/cell
space-group type: Pm-3m, No. 221
density of states at the Fermi level: 3.5 states/eV/cell
energy: -5.979 eV per atom

Unit cell a=3.7567 b=3.7567 c=3.7567 alpha=90.00 beta=90.00 gamma=90.00
Sites, in units of the cell vectors:
Co1 0.0000 0.0000 0.5000
Co2 0.0000 0.5000 0.0000
Co3 0.5000 0.0000 0.0000
Bi1 0.5000 0.5000 0.5000
H1 0.0000 0.0000 0.0000

(5)
The following is a DFT calculation (GGA-PBEsol) of a geometry-optimized Fe2CuHg structure.

Values from the calculation:
ΔE to the lowest computed polymorph: 0.18 eV/f.u.
spin magnetization: 5.09 μB/cell
space-group type: R3m, No. 160
density of states at the Fermi level: 2.6 states/eV/cell
energy: -5.332 eV per atom

Unit cell a=8.3042 b=8.3042 c=8.3042 alpha=19.53 beta=19.53 gamma=19.53
Sites, in units of the cell vectors:
Fe1 0.0000 0.0000 0.0000
Fe2 0.2640 0.2640 0.2640
Cu1 0.5192 0.5192 0.5192
Hg1 0.7604 0.7604 0.7604

(6)
The following is a DFT calculation (GGA-PBEsol) of a geometry-optimized ReNiW2 structure.

Values from the calculation:
ΔE to the lowest computed polymorph: 0.63 eV/f.u.
spin magnetization: 0.00 μB/cell
space-group type: Pmm2, No. 25
density of states at the Fermi level: 3.3 states/eV/cell
energy: -11.561 eV per atom

Unit cell a=2.6001 b=3.9966 c=5.5376 alpha=90.00 beta=90.00 gamma=90.00
Sites, in units of the cell vectors:
Re1 0.0000 0.0000 0.0000
Ni1 0.5000 0.5000 0.7672
W1 0.0000 0.0000 0.5360
W2 0.5000 0.5000 0.2575

(7)
The following is a DFT calculation (GGA-PBEsol) of a geometry-optimized CaLaFeNiO6 structure.

Values from the calculation:
spin magnetization: 8.02 μB/cell
space-group type: Pc, No. 7
density of states at the Fermi level: 5.5 states/eV/cell
E_form (uncorrected): -2.133 eV/atom
energy: -7.543 eV per atom

Unit cell a=5.3232 b=5.3141 c=9.2144 alpha=90.00 beta=125.24 gamma=90.00
Sites, in units of the cell vectors:
Ca1 0.0000 0.2146 0.0000
Ca2 0.0000 0.7854 0.5000
La1 0.4903 0.2717 0.5005
La2 0.4903 0.7283 0.0005
Fe1 0.2438 0.2504 0.7506
Fe2 0.2438 0.7496 0.2506
Ni1 0.7429 0.2520 0.2498
Ni2 0.7429 0.7480 0.7498
O1 0.0513 0.0250 0.2789
O2 0.0513 0.9750 0.7789
O3 0.4214 0.4699 0.2149
O4 0.4214 0.5301 0.7149
O5 0.4876 0.0277 0.7215
O6 0.4876 0.9723 0.2215
O7 0.5573 0.2563 0.9972
O8 0.5573 0.7437 0.4972
O9 0.9423 0.2405 0.5031
O10 0.9423 0.7595 0.0031
O11 0.9988 0.4638 0.7857
O12 0.9988 0.5362 0.2857

(8)
The following is a DFT calculation (GGA-PBEsol) of a geometry-optimized Ca2Mg structure.

Values from the calculation:
spin magnetization: 0.00 μB/cell
space-group type: C2, No. 5
density of states at the Fermi level: 4.8 states/eV/cell
energy: -1.965 eV per atom

Unit cell a=6.3346 b=6.3346 c=6.9361 alpha=117.12 beta=117.12 gamma=60.07
Sites, in units of the cell vectors:
Ca1 0.0000 0.0000 0.0000
Ca2 0.3269 0.3461 0.0001
Ca3 0.6539 0.6731 0.9999
Ca4 0.8269 0.1731 0.5000
Mg1 0.1601 0.5066 0.5002
Mg2 0.4934 0.8399 0.4998

(9)
The following is a DFT calculation (GGA-PBEsol) of a geometry-optimized NaLa2ReTc structure.

Values from the calculation:
spin magnetization: 3.14 μB/cell
space-group type: P4/mmm, No. 123
density of states at the Fermi level: 6.3 states/eV/cell
energy: -5.942 eV per atom

Unit cell a=5.2327 b=5.2327 c=5.3399 alpha=90.00 beta=90.00 gamma=90.00
Sites, in units of the cell vectors:
Na1 0.0000 0.0000 0.0000
La1 0.0000 0.5000 0.5000
La2 0.5000 0.0000 0.5000
Re1 0.0000 0.0000 0.5000
Tc1 0.5000 0.5000 0.0000

(10)
The following is a DFT calculation (GGA-PBEsol) of a geometry-optimized K2CuSb structure.

Values from the calculation:
spin magnetization: 0.00 μB/cell
space-group type: Cmcm, No. 63
E_form (uncorrected): -0.277 eV/atom
energy: -3.066 eV per atom

Unit cell a=6.5376 b=6.5376 c=6.1181 alpha=90.00 beta=90.00 gamma=73.71
Sites, in units of the cell vectors:
K1 0.0130 0.3246 0.2500
K2 0.3246 0.0130 0.7500
K3 0.6754 0.9870 0.2500
K4 0.9870 0.6754 0.7500
Cu1 0.5000 0.5000 0.0000
Cu2 0.5000 0.5000 0.5000
Sb1 0.2496 0.7504 0.2500
Sb2 0.7504 0.2496 0.7500

(11)
The following is a DFT calculation (GGA-PBEsol) of a geometry-optimized La2Sc structure.

Values from the calculation:
ΔE to the lowest computed polymorph: 0.07 eV/f.u.
spin magnetization: 0.00 μB/cell
space-group type: I4/mmm, No. 139
density of states at the Fermi level: 5.2 states/eV/cell
energy: -5.701 eV per atom

Unit cell a=7.5197 b=7.5197 c=7.5197 alpha=152.45 beta=152.45 gamma=39.36
Sites, in units of the cell vectors:
La1 0.1625 0.1625 0.0000
La2 0.8375 0.8375 0.0000
Sc1 0.5000 0.5000 0.0000

(12)
The following is a DFT calculation (GGA-PBEsol) of a geometry-optimized ScGaSn3 structure.

Values from the calculation:
spin magnetization: 0.00 μB/cell
space-group type: Pm-3m, No. 221
density of states at the Fermi level: 4.6 states/eV/cell
energy: -4.174 eV per atom

Unit cell a=5.3943 b=5.3943 c=5.3943 alpha=90.00 beta=90.00 gamma=90.00
Sites, in units of the cell vectors:
Sc1 0.0000 0.0000 0.0000
Ga1 0.5000 0.5000 0.5000
Sn1 0.0000 0.0000 0.5000
Sn2 0.0000 0.5000 0.0000
Sn3 0.5000 0.0000 0.0000

Q: Number 2 is which compound?
A: YZr2Zn